Compound: RbHg3Au2
Source: Alexandria
Functional: PBE-GGA
Structure: relaxed

The energy relative to the elements comes out at -0.129 eV per atom. The magnetic moment comes out at 0.0 Bohr magnetons per cell. The volume is 27.42 Å³ per atom. The density of states at the Fermi level is 3.2 states/eV/cell. As for the energy above the lowest structure with this stoichiometry: 0.0000 eV per atom. As for the total energy: -1.533 eV per atom.

Lattice parameters (Å, degrees): 6.431 6.431 9.185 90.00 90.00 120.00
Atoms (fractional coordinates):
Rb 0.000 0.000 0.000
Rb 0.000 0.000 0.500
Hg 0.000 0.499 0.250
Hg 0.000 0.501 0.750
Hg 0.499 0.000 0.250
Hg 0.499 0.499 0.750
Hg 0.501 0.000 0.750
Hg 0.501 0.501 0.250
Au 0.333 0.667 0.000
Au 0.333 0.667 0.500
Au 0.667 0.333 0.000
Au 0.667 0.333 0.500



Compound: Rb5HgAu
Source: Alexandria
Functional: PBE-GGA
Structure: relaxed

The energy relative to the elements comes out at -0.134 eV per atom. The magnetic moment comes out at 0.0 Bohr magnetons per cell. The volume is 59.57 Å³ per atom. The density of states at the Fermi level is 9.6 states/eV/cell. As for the total energy: -1.336 eV per atom.

Lattice parameters (Å, degrees): 9.683 4.984 17.319 90.00 93.77 90.00
Atoms (fractional coordinates):
Rb 0.062 0.250 0.204
Rb 0.141 0.750 0.567
Rb 0.285 0.750 0.002
Rb 0.331 0.250 0.766
Rb 0.356 0.250 0.383
Rb 0.644 0.750 0.617
Rb 0.669 0.750 0.234
Rb 0.715 0.250 0.998
Rb 0.859 0.250 0.433
Rb 0.938 0.750 0.796
Hg 0.424 0.250 0.148
Hg 0.576 0.750 0.852
Au 0.076 0.750 0.358
Au 0.924 0.250 0.642



> energy relative to the elements of number 2 (Rb5HgAu)?

-0.134 eV per atom